1.
VASP calculation (PBE) on a geometry-optimized TeMoAs structure.

The structure in extended XYZ format:
```
3
Lattice="0.000 3.206 3.206 3.206 0.000 3.206 3.206 3.206 0.000" Properties=species:S:1:pos:R:3 pbc="T T T"
Te 0.000 0.000 0.000
Mo 3.206 3.206 3.206
As 1.603 1.603 1.603
```

SG: F-43m


2.
VASP calculation (PBE) on a geometry-optimized Dy2PuTaN4 structure.

The structure in extended XYZ format:
```
8
Lattice="5.817 0.000 0.000 0.000 3.354 0.000 -1.895 0.000 5.505" Properties=species:S:1:pos:R:3 pbc="T T T"
Dy 0.000 0.000 0.000
Dy 2.908 1.677 0.000
Pu -0.948 1.677 2.753
Ta 1.961 0.000 2.753
N 0.132 0.000 4.032
N 1.061 1.677 1.513
N 2.860 1.677 3.992
N 3.789 0.000 1.473
```

SG: P2/m


| no. | formation energy from raw total energies (meV per atom) |
| --- | --- |
| 1 | 845 |
| 2 | -1432 |